# La2PbS4, relaxed, DFT PBE-GGA
# Formation energy without anion corrections   -11.95 eV per formula unit
# Polymorph energy (0 for the lowest one)   0 meV per atom
# DFT total energy   -6.003 eV per atom
# DOS(E_F)   0.0 states/eV/cell
data_La2PbS4
_symmetry_space_group_name_H-M 'I -4 2 d'
_symmetry_Int_Tables_number 122
_symmetry_space_group_name_Hall 'I -4 2bw'
_cell_length_a 8.827
_cell_length_b 8.827
_cell_length_c 8.777
_cell_angle_alpha 90.00
_cell_angle_beta 90.00
_cell_angle_gamma 90.00
loop_
_atom_site_label
_atom_site_fract_x
_atom_site_fract_y
_atom_site_fract_z
La1 0.136 0.250 0.125
Pb1 0.000 0.000 0.500
S1 0.074 0.173 0.808

# SrSeBr2, relaxed, DFT PBE-GGA
# Formation energy without anion corrections   -5.27 eV per formula unit
# Polymorph energy (0 for the lowest one)   0 meV per atom
# DFT total energy   -3.446 eV per atom
# DOS(E_F)   0.0 states/eV/cell
data_SrSeBr2
_symmetry_space_group_name_H-M 'C 1 2/m 1'
_symmetry_Int_Tables_number 12
_cell_length_a 14.565
_cell_length_b 4.231
_cell_length_c 4.870
_cell_angle_alpha 90.00
_cell_angle_beta 91.27
_cell_angle_gamma 90.00
loop_
_symmetry_equiv_pos_as_xyz
'x,y,z'
'-x,-y,-z'
'-x,y,-z'
'x,-y,z'
'x+1/2,y+1/2,z'
'-x+1/2,-y+1/2,-z'
'-x+1/2,y+1/2,-z'
'x+1/2,-y+1/2,z'
loop_
_atom_site_label
_atom_site_fract_x
_atom_site_fract_y
_atom_site_fract_z
Sr1 0.000 0.000 0.000
Se1 0.000 0.500 0.500
Br1 0.149 0.500 0.200